Entry 1:
! Nd10Sm4Dy, relaxed, DFT GGA-PBE; values from VASP
! Space-group type: I4/m, No. 87
! Formation energy (eV per atom): 0.700
&SYSTEM
  ibrav = 0, nat = 15, ntyp = 3
/
ATOMIC_SPECIES
Nd 144.24 Nd.upf
Sm 150.36 Sm.upf
Dy 162.50 Dy.upf
CELL_PARAMETERS angstrom
-6.225 6.225 3.926
6.225 -6.225 3.926
6.225 6.225 -3.926
ATOMIC_POSITIONS crystal
Nd 0.050 0.150 0.701
Nd 0.150 0.449 0.100
Nd 0.250 0.750 0.500
Nd 0.348 0.050 0.900
Nd 0.449 0.348 0.299
Nd 0.551 0.652 0.701
Nd 0.652 0.950 0.100
Nd 0.750 0.250 0.500
Nd 0.850 0.551 0.900
Nd 0.950 0.850 0.299
Sm 0.201 0.600 0.801
Sm 0.400 0.201 0.600
Sm 0.600 0.799 0.400
Sm 0.799 0.400 0.199
Dy 0.000 0.000 0.000

---

Entry 2:
! CsBaSc3, relaxed, DFT GGA-PBE; values from VASP
! Space-group type: Pm-3m, No. 221
! Formation energy (eV per atom): 1.109
&SYSTEM
  ibrav = 0, nat = 5, ntyp = 3
/
ATOMIC_SPECIES
Cs 132.91 Cs.upf
Ba 137.33 Ba.upf
Sc 44.96 Sc.upf
CELL_PARAMETERS angstrom
5.632 0.000 0.000
0.000 5.632 0.000
0.000 0.000 5.632
ATOMIC_POSITIONS crystal
Cs 0.000 0.000 0.000
Ba 0.500 0.500 0.500
Sc 0.000 0.000 0.500
Sc 0.000 0.500 0.000
Sc 0.500 0.000 0.000

---

Entry 3:
! Cs2TlIn3I6, relaxed, DFT GGA-PBE; values from VASP
! Space-group type: C2/m, No. 12
! Formation energy without anion corrections (eV/atom): -0.84
&SYSTEM
  ibrav = 0, nat = 12, ntyp = 4
/
ATOMIC_SPECIES
Cs 132.91 Cs.upf
Tl 204.38 Tl.upf
In 114.82 In.upf
I 126.90 I.upf
CELL_PARAMETERS angstrom
11.251 -2.589 0.000
11.251 2.589 0.000
-2.271 0.000 10.110
ATOMIC_POSITIONS crystal
Cs 0.165 0.165 0.324
Cs 0.835 0.835 0.676
Tl 0.500 0.500 0.000
In 0.165 0.165 0.831
In 0.500 0.500 0.500
In 0.835 0.835 0.169
I 0.008 0.008 0.754
I 0.338 0.338 0.946
I 0.341 0.341 0.407
I 0.659 0.659 0.593
I 0.662 0.662 0.054
I 0.992 0.992 0.246

---

Number 1: total magnetic moment 0.0 μB per formula unit. Number 2: total magnetic moment 0.0 μB per formula unit. Number 3: total magnetic moment 0.0 μB per formula unit.